# GGA-PBEsol MgBeN2O, optimized geometry
# * SG: P4/mmm, No. 123
# * formation energy from raw total energies: 1.2516 eV per atom
# * N(E_F): 1.672 states/eV/f.u.
# * ρ: 2183 kg/m3
data_MgBeN2O
_cell_length_a 3.717
_cell_length_b 3.978
_cell_length_c 3.978
_cell_angle_alpha 90.00
_cell_angle_beta 90.00
_cell_angle_gamma 90.00
_symmetry_space_group_name_H-M 'P 1'
_symmetry_Int_Tables_number 1
loop_
_symmetry_equiv_pos_as_xyz
'x,y,z'
loop_
_atom_site_label
_atom_site_type_symbol
_atom_site_fract_x
_atom_site_fract_y
_atom_site_fract_z
Be1 Be 0.500 0.500 0.500
Mg1 Mg 0.000 0.000 0.000
O1 O 0.500 0.000 0.000
N1 N 0.000 0.000 0.500
N2 N 0.000 0.500 0.000

---

# GGA-PBEsol La3TlRu, optimized geometry
# * SG: Pm-3m, No. 221
# * N(E_F): 4.928 states/eV/f.u.
# * ρ: 7672 kg/m3
# * formation energy from the elements: -1.3 eV per formula unit
# * energy relative to the lowest polymorph listed for this composition: 0.113 eV/atom
data_La3TlRu
_cell_length_a 5.387
_cell_length_b 5.387
_cell_length_c 5.387
_cell_angle_alpha 90.00
_cell_angle_beta 90.00
_cell_angle_gamma 90.00
_symmetry_space_group_name_H-M 'P 1'
_symmetry_Int_Tables_number 1
loop_
_symmetry_equiv_pos_as_xyz
'x,y,z'
loop_
_atom_site_label
_atom_site_type_symbol
_atom_site_fract_x
_atom_site_fract_y
_atom_site_fract_z
Ru1 Ru 0.000 0.000 0.000
Tl1 Tl 0.500 0.500 0.500
La1 La 0.000 0.500 0.000
La2 La 0.000 0.000 0.500
La3 La 0.500 0.000 0.000

---

Question: Which of these has the highest N(E_F)?
Answer: La3TlRu

---

Repeat the first record exactly.
# GGA-PBEsol MgBeN2O, optimized geometry
# * SG: P4/mmm, No. 123
# * formation energy from raw total energies: 1.2516 eV per atom
# * N(E_F): 1.672 states/eV/f.u.
# * ρ: 2183 kg/m3
data_MgBeN2O
_cell_length_a 3.717
_cell_length_b 3.978
_cell_length_c 3.978
_cell_angle_alpha 90.00
_cell_angle_beta 90.00
_cell_angle_gamma 90.00
_symmetry_space_group_name_H-M 'P 1'
_symmetry_Int_Tables_number 1
loop_
_symmetry_equiv_pos_as_xyz
'x,y,z'
loop_
_atom_site_label
_atom_site_type_symbol
_atom_site_fract_x
_atom_site_fract_y
_atom_site_fract_z
Be1 Be 0.500 0.500 0.500
Mg1 Mg 0.000 0.000 0.000
O1 O 0.500 0.000 0.000
N1 N 0.000 0.000 0.500
N2 N 0.000 0.500 0.000

---

Question: What is the formula in the second record?
Answer: La3TlRu

---

Question: What is the ρ in the second record?
Answer: 7672 kg/m3